Entry 1:
! Er2ScRu2 | Alexandria via LeMat-Bulk | PBE-GGA | relaxed; values from VASP
! - total DFT energy (no corrections) (eV/cell) = -36.1
&SYSTEM
  ibrav = 0, nat = 5, ntyp = 3
/
ATOMIC_SPECIES
Ru 101.07 Ru.upf
Er 167.26 Er.upf
Sc 44.96 Sc.upf
ATOMIC_POSITIONS angstrom
Ru 1.314 5.981 6.636
Ru 0.849 0.457 2.683
Er 2.601 2.678 2.732
Sc 0.000 0.000 0.000
Er 0.458 5.555 3.973
CELL_PARAMETERS angstrom
-0.896 -1.796 2.614
3.142 -0.027 1.059
-0.083 8.260 5.646



Entry 2:
! ErSc3Ru2 | Alexandria via LeMat-Bulk | PBE-GGA | relaxed; values from VASP
! - total DFT energy (no corrections) (eV/cell) = -44.6
&SYSTEM
  ibrav = 0, nat = 6, ntyp = 3
/
ATOMIC_SPECIES
Er 167.26 Er.upf
Ru 101.07 Ru.upf
Sc 44.96 Sc.upf
ATOMIC_POSITIONS angstrom
Er 1.626 1.626 5.736
Ru 1.626 1.626 1.654
Sc 0.000 0.000 0.000
Ru 1.626 1.626 9.818
Sc 0.000 0.000 8.365
Sc 0.000 0.000 3.107
CELL_PARAMETERS angstrom
3.252 0.000 0.000
0.000 3.252 0.000
0.000 0.000 11.472



Entry 3:
! ErSc4Ru2 | Alexandria via LeMat-Bulk | PBE-GGA | relaxed; values from VASP
! - total DFT energy (no corrections) (eV/cell) = -101.8
&SYSTEM
  ibrav = 0, nat = 14, ntyp = 3
/
ATOMIC_SPECIES
Sc 44.96 Sc.upf
Ru 101.07 Ru.upf
Er 167.26 Er.upf
ATOMIC_POSITIONS angstrom
Sc -2.372 4.582 0.820
Ru -3.989 3.122 2.244
Sc -5.081 2.665 4.629
Ru -2.521 0.950 4.451
Sc -2.139 3.735 4.218
Ru 0.337 4.648 4.942
Sc -4.138 -0.510 5.875
Er -4.066 2.054 -0.377
Er -2.444 2.019 7.072
Sc -1.430 1.407 2.065
Ru -6.847 -0.576 1.752
Sc -2.148 -1.471 3.148
Sc -4.371 0.337 2.476
Sc -4.362 5.543 3.547
CELL_PARAMETERS angstrom
-4.452 3.619 -1.344
-4.812 -4.608 3.530
2.753 5.061 4.509



Entry 4:
! ErSc3Ru | Alexandria via LeMat-Bulk | PBE-GGA | relaxed; values from VASP
! - total DFT energy (no corrections) (eV/cell) = -67.4
&SYSTEM
  ibrav = 0, nat = 10, ntyp = 3
/
ATOMIC_SPECIES
Sc 44.96 Sc.upf
Ru 101.07 Ru.upf
Er 167.26 Er.upf
ATOMIC_POSITIONS angstrom
Sc 3.648 4.757 1.832
Sc 3.648 3.260 6.540
Sc 1.216 1.586 5.842
Sc 1.216 0.088 1.135
Ru 1.216 4.757 6.810
Er 1.216 4.757 4.236
Sc 3.648 6.255 6.540
Er 3.648 1.586 3.439
Sc 1.216 3.083 1.135
Ru 3.648 1.586 0.865
CELL_PARAMETERS angstrom
4.864 0.000 0.000
0.000 6.343 0.000
0.000 0.000 7.675



Entry 5:
! Er3Sc7Ru4 | Alexandria via LeMat-Bulk | PBE-GGA | relaxed; values from VASP
! - total DFT energy (no corrections) (eV/cell) = -99.5
&SYSTEM
  ibrav = 0, nat = 14, ntyp = 3
/
ATOMIC_SPECIES
Sc 44.96 Sc.upf
Er 167.26 Er.upf
Ru 101.07 Ru.upf
ATOMIC_POSITIONS angstrom
Sc -4.340 -3.447 0.758
Sc -9.611 -3.486 2.700
Er -12.657 -2.253 2.825
Sc -6.465 0.902 0.409
Ru -5.954 -1.669 -0.316
Er -3.419 -0.332 0.284
Sc -11.736 0.863 2.351
Sc -8.716 1.277 2.427
Sc -7.360 -3.861 0.683
Ru -9.915 -4.442 0.182
Er -6.717 -1.454 3.059
Sc 0.000 0.000 0.000
Ru -10.122 -0.915 3.425
Ru -6.162 1.858 2.928
CELL_PARAMETERS angstrom
-2.642 0.324 -3.009
-5.608 -6.423 1.551
-7.826 3.515 4.567



Entry 6:
! ErSc3Ru | Alexandria via LeMat-Bulk | PBE-GGA | relaxed; values from VASP
! - total DFT energy (no corrections) (eV/cell) = -67.7
&SYSTEM
  ibrav = 0, nat = 10, ntyp = 3
/
ATOMIC_SPECIES
Er 167.26 Er.upf
Ru 101.07 Ru.upf
Sc 44.96 Sc.upf
ATOMIC_POSITIONS angstrom
Er -0.651 5.495 1.320
Ru 1.754 3.679 2.081
Ru 0.282 -0.213 3.480
Sc 3.498 2.362 0.758
Sc -1.461 1.104 4.803
Sc -0.172 2.076 1.784
Sc 2.208 1.390 3.777
Sc -2.762 4.032 3.898
Sc 4.798 -0.566 1.663
Er 2.687 -2.029 4.241
CELL_PARAMETERS angstrom
6.842 -0.164 -0.121
-2.029 6.536 0.121
-2.776 -2.907 5.561



Listing mass density for the structures above in their given order: 9.0 6.9 6.1 5.7 6.6 5.4 g cm⁻³.
Listing formation energy from the elements for the structures above in their given order: -0.409 -0.418 -0.353 -0.173 -0.316 -0.202 eV per atom.